Entry from Alexandria via LeMat-Bulk: a relaxed structure of CeSm2Pu3P6 (PBE).

Magnetic moment (μB per formula unit): 15.60
VASP energy (eV per atom): -8.920
ΔH_f (0 K) (meV per atom): -1351

a b c (Å): 7.0281 12.1718 6.9864
angles (deg): 90.00 109.59 90.00
Space group C2/m (No. 12)
Symmetry-distinct sites (fractional):
Ce (0.0000, 0.0000, 0.0000) (multiplicity 2)
Sm (0.0000, 0.3334, 0.0000) (multiplicity 4)
Pu (0.0000, 0.1672, 0.5000) (multiplicity 4)
Pu (0.0000, 0.5000, 0.5000) (multiplicity 2)
P (0.2444, 0.0000, 0.7400) (multiplicity 4)
P (0.2477, 0.3344, 0.7397) (multiplicity 8)